# 1
The following is a PBE calculation of crystalline SmHg5 at its relaxed geometry, from Alexandria via LeMat-Bulk.

Calculated values
Symmetry: C2/m
Energy, Ry per atom: -0.09293

a = 5.1614 Å, b = 5.1614 Å, c = 6.5737 Å
α = 94.94°, β = 94.94°, γ = 59.60°
Last column: nearest neighbours and their distance in Å.
Sites, in units of the cell vectors:
1 Sm 0.0000 0.0000 0.0000  14 Hg 3.29-3.45
2 Hg 0.0000 0.0000 0.5000  10 Hg 3.22-3.53, 2 Sm 3.29
3 Hg 0.3247 0.3247 0.7572  5 Hg 2.97-3.22
4 Hg 0.3433 0.3433 0.2449  6 Hg 2.97-3.30, 1 Sm 3.33
5 Hg 0.6567 0.6567 0.7551  6 Hg 2.97-3.30, 1 Sm 3.33
6 Hg 0.6753 0.6753 0.2428  5 Hg 2.97-3.22

# 2
The following is a PBE calculation of crystalline BiSeBr2O at its relaxed geometry, from Alexandria via LeMat-Bulk.

Calculated values
Formation energy from raw total energies, eV/atom: 0.5997
Symmetry: P4/mmm
ΔE to the lowest computed polymorph, meV per atom: 284.3
Energy, Ry per atom: -0.18626

a = 5.6568 Å, b = 5.6568 Å, c = 5.7951 Å
α = 90.00°, β = 90.00°, γ = 90.00°
Last column: nearest neighbours and their distance in Å.
Sites, in units of the cell vectors:
1 Bi 0.0000 0.0000 0.0000  4 Br 2.83, 2 Se 2.90
2 Se 0.0000 0.0000 0.5000  2 Bi 2.90
3 Br 0.0000 0.5000 0.0000  2 Bi 2.83
4 Br 0.5000 0.0000 0.0000  2 Bi 2.83
5 O 0.5000 0.5000 0.5000  4 Se 4.00, 8 Br 4.05

# 3
The following is a PBE calculation of crystalline CaLaTeBr at its relaxed geometry, from Alexandria via LeMat-Bulk.

Calculated values
Formation energy from raw total energies, eV/atom: -1.3884
Symmetry: Pm
ΔE to the lowest computed polymorph, meV per atom: 30.0
Energy, Ry per atom: -0.31783

a = 4.3942 Å, b = 4.3941 Å, c = 6.3758 Å
α = 90.00°, β = 90.16°, γ = 90.00°
Last column: nearest neighbours and their distance in Å.
Sites, in units of the cell vectors:
1 Ca 0.0000 0.0000 0.0000  4 Te 3.11, 2 Br 3.18-3.20
2 La 0.5002 0.5000 0.4972  4 Br 3.11, 2 Te 3.19
3 Te 0.5000 0.5000 0.9971  4 Ca 3.11, 2 La 3.19
4 Br 0.0002 0.0000 0.4984  4 La 3.11, 2 Ca 3.18-3.20

# 4
The following is a PBE calculation of crystalline Ta2V2W at its relaxed geometry, from Alexandria via LeMat-Bulk.

Calculated values
Symmetry: C2/c
Energy, Ry per atom: -0.78713

a = 7.1738 Å, b = 7.1738 Å, c = 4.9087 Å
α = 104.01°, β = 104.01°, γ = 128.54°
Last column: nearest neighbours and their distance in Å.
Sites, in units of the cell vectors:
1 Ta 0.1933 0.3042 0.0018  4 Ta 2.68-2.84, 4 V 2.72-2.94, 1 W 2.78
2 Ta 0.3042 0.1933 0.5018  4 Ta 2.68-2.84, 4 V 2.72-2.94, 1 W 2.78
3 Ta 0.6958 0.8067 0.4982  4 Ta 2.68-2.84, 4 V 2.72-2.94, 1 W 2.78
4 Ta 0.8067 0.6958 0.9982  4 Ta 2.68-2.84, 4 V 2.72-2.94, 1 W 2.78
5 V 0.1470 0.8530 0.7500  3 W 2.58-2.68, 2 Ta 2.72, 2 V 2.79
6 V 0.2490 0.7510 0.2500  4 V 2.68-2.79, 2 W 2.76, 4 Ta 2.84-2.86
7 V 0.7510 0.2490 0.7500  4 V 2.68-2.79, 2 W 2.76, 4 Ta 2.84-2.86
8 V 0.8530 0.1470 0.2500  3 W 2.58-2.68, 2 Ta 2.72, 2 V 2.79
9 W 0.3467 0.6533 0.7500  5 V 2.58-2.76, 2 Ta 2.78
10 W 0.6533 0.3467 0.2500  5 V 2.58-2.76, 2 Ta 2.78